Here is a relaxed NaNi2N2 crystal from the Alexandria database. Energies are from PBE-GGA.

Calculated values
relative energy among the computed polymorphs	578	meV/atom
raw formation energy	0.889	eV/atom

Lattice parameters (Å, degrees): 6.258 6.258 2.556 90.00 90.00 90.00
Space group P4/mbm (No. 127)
Inequivalent atoms, fractional coordinates:
Na 0.000 0.000 0.000 x2
Ni 0.126 0.374 0.000 x4
N 0.144 0.644 0.500 x4

---

Here is a relaxed Na3NiN2 crystal from the Alexandria database. Energies are from PBE-GGA.

Calculated values
raw formation energy	0.160	eV/atom

Lattice parameters (Å, degrees): 7.980 7.980 12.606 90.00 90.00 90.00
Space group I4_1/amd (No. 141, origin choice 2)
Inequivalent atoms, fractional coordinates:
Na 0.000 0.250 0.259 x8
Na 0.209 0.041 0.875 x16
Ni 0.000 0.250 0.036 x8
N 0.000 0.038 0.712 x16